1.
A geometry-optimized RbPtPb3 structure, computed with PBE.

It has space group Pm-3m (No. 221), with a = 5.589 Å, b = 5.589 Å, c = 5.589 Å, α = 90.00°, β = 90.00° and γ = 90.00°. The distinct sites, in fractional coordinates, are Rb at (0.000, 0.000, 0.000), Pt at (0.500, 0.500, 0.500) and Pb at (0.000, 0.500, 0.500).

For the formation enthalpy at 0 K, the calculation gives 0.08 eV per atom. The distance to the lowest polymorph of the same formula comes out at 291 meV per atom. The density of states at the Fermi level is 6.68 states/eV/cell. The crystal system is cubic.

***

2.
A geometry-optimized Rb2Sb3Pt4Pb structure, computed with PBE.

It has space group P-4m2 (No. 115), with a = 4.852 Å, b = 4.852 Å, c = 10.759 Å, α = 90.00°, β = 90.00° and γ = 90.00°. The distinct sites, in fractional coordinates, are Rb at (0.000, 0.500, 0.246), Sb at (0.000, 0.500, 0.883), Sb at (0.500, 0.500, 0.500), Pt at (0.000, 0.000, 0.000), Pt at (0.000, 0.500, 0.629), Pt at (0.500, 0.500, 0.000) and Pb at (0.000, 0.000, 0.500).

As for the formation energy from raw total energies: -0.38 eV/atom. The density of states at the Fermi level is 4.20 states/eV/cell. The crystal system is tetragonal.

***

3.
A geometry-optimized RbSbPtPb structure, computed with PBE.

It has space group Cm (No. 8), with a = 7.832 Å, b = 4.522 Å, c = 8.239 Å, α = 90.00°, β = 90.12° and γ = 90.00°. The distinct sites, in fractional coordinates, are Rb at (0.000, 0.000, 0.000), Sb at (0.333, 0.000, 0.703), Pt at (0.166, 0.500, 0.626) and Pb at (0.499, 0.500, 0.456).

As for the formation energy from raw total energies: -0.36 eV/atom. The density of states at the Fermi level is 2.11 states/eV/cell. The crystal system is monoclinic.

***

4.
A geometry-optimized RbSbPt2Pb structure, computed with PBE.

It has space group P2_1/m (No. 11), with a = 7.726 Å, b = 4.432 Å, c = 9.622 Å, α = 90.00°, β = 106.05° and γ = 90.00°. The distinct sites, in fractional coordinates, are Rb at (0.245, 0.250, 0.288), Sb at (0.265, 0.750, 0.635), Pt at (0.073, 0.250, 0.583), Pt at (0.424, 0.750, 0.920) and Pb at (0.197, 0.250, 0.892).

As for the formation energy from raw total energies: -0.34 eV/atom. The density of states at the Fermi level is 4.09 states/eV/cell. The crystal system is monoclinic.

***

5.
A geometry-optimized Rb2Sn3Pt4Pb structure, computed with PBE.

It has space group P-4m2 (No. 115), with a = 4.872 Å, b = 4.872 Å, c = 10.739 Å, α = 90.00°, β = 90.00° and γ = 90.00°. The distinct sites, in fractional coordinates, are Rb at (0.000, 0.500, 0.242), Sn at (0.000, 0.500, 0.886), Sn at (0.500, 0.500, 0.500), Pt at (0.000, 0.000, 0.000), Pt at (0.000, 0.500, 0.631), Pt at (0.500, 0.500, 0.000) and Pb at (0.000, 0.000, 0.500).

For the formation enthalpy at 0 K, the calculation gives -0.37 eV per atom. The density of states at the Fermi level is 6.64 states/eV/cell. The crystal system is tetragonal.

***

6.
A geometry-optimized RbSnPt2Pb structure, computed with PBE.

It has space group P2_1/m (No. 11), with a = 7.220 Å, b = 4.558 Å, c = 9.768 Å, α = 90.00°, β = 101.85° and γ = 90.00°. The distinct sites, in fractional coordinates, are Rb at (0.059, 0.250, 0.283), Sn at (0.346, 0.750, 0.546), Pt at (0.473, 0.250, 0.673), Pt at (0.496, 0.750, 0.840) and Pb at (0.298, 0.750, 0.051).

For the formation enthalpy at 0 K, the calculation gives -0.28 eV per atom. The density of states at the Fermi level is 4.26 states/eV/cell. The crystal system is monoclinic.

***

7.
A geometry-optimized RbTlPt2Pb structure, computed with PBE.

It has space group P4/mmm (No. 123), with a = 5.309 Å, b = 5.309 Å, c = 5.830 Å, α = 90.00°, β = 90.00° and γ = 90.00°. The distinct sites, in fractional coordinates, are Rb at (0.000, 0.000, 0.000), Tl at (0.500, 0.500, 0.000), Pt at (0.000, 0.500, 0.500) and Pb at (0.500, 0.500, 0.500).

For the formation enthalpy at 0 K, the calculation gives 0.40 eV per atom. The density of states at the Fermi level is 3.69 states/eV/cell. The crystal system is tetragonal.

***

8.
A geometry-optimized Rb2TlPtPb2 structure, computed with PBE.

It has space group Ibam (No. 72), with a = 7.423 Å, b = 16.693 Å, c = 7.265 Å, α = 90.00°, β = 90.00° and γ = 90.00°. The distinct sites, in fractional coordinates, are Rb at (0.218, 0.168, 0.000), Tl at (0.000, 0.000, 0.250), Pt at (0.000, 0.500, 0.250) and Pb at (0.185, 0.407, 0.000).

For the formation enthalpy at 0 K, the calculation gives -0.15 eV per atom. The density of states at the Fermi level is 18.88 states/eV/cell. The crystal system is orthorhombic.